1.
VASP calculation (meta-GGA SCAN) on a crystal of LiPrAu2 relaxed with PBEsol.

It has space group Fm-3m (No. 225), with a = 6.977 Å, b = 6.977 Å, c = 6.977 Å, α = 90.00°, β = 90.00° and γ = 90.00°. The distinct sites, in fractional coordinates, are Li at (0.000, 0.000, 0.000), Pr at (0.000, 0.000, 0.500) and Au at (0.250, 0.250, 0.250).

As for the crystal system: cubic. The calculation puts the energy at -46.809 eV per atom. The calculation puts the energy of formation from the pure elements at -802 meV per atom.

2.
VASP calculation (meta-GGA SCAN) on a crystal of LiPtAu2 relaxed with PBEsol.

It has space group Cm (No. 8), with a = 9.394 Å, b = 2.822 Å, c = 4.747 Å, α = 90.00°, β = 99.99° and γ = 90.00°. The distinct sites, in fractional coordinates, are Li at (0.000, 0.000, 0.000), Pt at (0.246, 0.500, 0.252), Au at (0.247, 0.000, 0.757) and Au at (0.494, 0.000, 0.486).

As for the crystal system: monoclinic. The calculation puts the energy at -53.060 eV per atom. The calculation puts the energy of formation from the pure elements at -336 meV per atom.

3.
VASP calculation (meta-GGA SCAN) on a crystal of LiPt2Au relaxed with PBEsol.

It has space group Pmmm (No. 47), with a = 2.772 Å, b = 4.623 Å, c = 4.664 Å, α = 90.00°, β = 90.00° and γ = 90.00°. The distinct sites, in fractional coordinates, are Li at (0.000, 0.000, 0.000), Pt at (0.000, 0.500, 0.500), Pt at (0.500, 0.000, 0.500) and Au at (0.500, 0.500, 0.000).

As for the crystal system: orthorhombic. The calculation puts the energy at -53.375 eV per atom. The calculation puts the energy of formation from the pure elements at -392 meV per atom.

4.
VASP calculation (meta-GGA SCAN) on a crystal of LiPtAu2 relaxed with PBEsol.

It has space group I4/mmm (No. 139), with a = 4.001 Å, b = 4.001 Å, c = 7.695 Å, α = 90.00°, β = 90.00° and γ = 90.00°. The distinct sites, in fractional coordinates, are Li at (0.000, 0.000, 0.000), Pt at (0.000, 0.000, 0.500) and Au at (0.000, 0.500, 0.250).

As for the crystal system: tetragonal. The calculation puts the energy at -53.034 eV per atom. The calculation puts the energy of formation from the pure elements at -310 meV per atom.

5.
VASP calculation (meta-GGA SCAN) on a crystal of LiPt2Au relaxed with PBEsol.

It has space group P4/mmm (No. 123), with a = 3.847 Å, b = 3.847 Å, c = 3.962 Å, α = 90.00°, β = 90.00° and γ = 90.00°. The distinct sites, in fractional coordinates, are Li at (0.000, 0.000, 0.000), Pt at (0.000, 0.500, 0.500) and Au at (0.500, 0.500, 0.000).

As for the crystal system: tetragonal. The calculation puts the energy at -53.358 eV per atom. The calculation puts the energy of formation from the pure elements at -375 meV per atom.

6.
VASP calculation (meta-GGA SCAN) on a crystal of LiPt2Au relaxed with PBEsol.

It has space group P2/m (No. 10), with a = 2.721 Å, b = 4.695 Å, c = 4.699 Å, α = 90.00°, β = 91.32° and γ = 90.00°. The distinct sites, in fractional coordinates, are Li at (0.000, 0.000, 0.000), Pt at (0.242, 0.500, 0.755) and Au at (0.500, 0.000, 0.500).

As for the crystal system: monoclinic. The calculation puts the energy at -53.335 eV per atom. The calculation puts the energy of formation from the pure elements at -352 meV per atom.

7.
VASP calculation (meta-GGA SCAN) on a crystal of LiPtAu2 relaxed with PBEsol.

It has space group I-4m2 (No. 119), with a = 3.898 Å, b = 3.898 Å, c = 8.095 Å, α = 90.00°, β = 90.00° and γ = 90.00°. The distinct sites, in fractional coordinates, are Li at (0.000, 0.000, 0.000), Pt at (0.000, 0.500, 0.250), Au at (0.000, 0.000, 0.500) and Au at (0.000, 0.500, 0.750).

As for the crystal system: tetragonal. The calculation puts the energy at -53.068 eV per atom. The calculation puts the energy of formation from the pure elements at -344 meV per atom.

8.
VASP calculation (meta-GGA SCAN) on a crystal of LiPt2Au relaxed with PBEsol.

It has space group C2/m (No. 12), with a = 5.388 Å, b = 9.376 Å, c = 2.728 Å, α = 90.00°, β = 119.46° and γ = 90.00°. The distinct sites, in fractional coordinates, are Li at (0.000, 0.000, 0.000), Pt at (0.250, 0.250, 0.500) and Au at (0.000, 0.500, 0.000).

As for the crystal system: monoclinic. The calculation puts the energy at -53.381 eV per atom. The calculation puts the energy of formation from the pure elements at -397 meV per atom.

Q: Among the records above, which one has the highest energy?
A: LiPrAu2

What did the seventh record say?
VASP calculation (meta-GGA SCAN) on a crystal of LiPtAu2 relaxed with PBEsol.

It has space group I-4m2 (No. 119), with a = 3.898 Å, b = 3.898 Å, c = 8.095 Å, α = 90.00°, β = 90.00° and γ = 90.00°. The distinct sites, in fractional coordinates, are Li at (0.000, 0.000, 0.000), Pt at (0.000, 0.500, 0.250), Au at (0.000, 0.000, 0.500) and Au at (0.000, 0.500, 0.750).

As for the crystal system: tetragonal. The calculation puts the energy at -53.068 eV per atom. The calculation puts the energy of formation from the pure elements at -344 meV per atom.